# 1
This record from Alexandria describes an optimized crystal structure of Tm4AgPd2Pt. The functional is PBE.

Values from the calculation:
* energy of formation from the pure elements: -0.887 eV/atom
* magnetization: 0.00 μB/f.u.

Cell lengths 4.938, 4.938, 8.531 Å; angles 73.18, 73.18, 60.00 degrees
Element x y z (fractional)
Tm 0.872 0.872 0.385
Tm 0.379 0.379 0.864
Tm 0.621 0.621 0.136
Tm 0.128 0.128 0.615
Pd 0.253 0.253 0.240
Pd 0.747 0.747 0.760
Ag 0.000 0.000 0.000
Pt 0.500 0.500 0.500

# 2
This record from Alexandria describes an optimized crystal structure of BaNpCr2S8. The functional is PBE.

Values from the calculation:
* formation energy (no corrections): -826 meV/atom
* magnetization: 5.00 μB/f.u.

Cell lengths 6.136, 6.136, 9.648 Å; angles 71.46, 71.46, 60.00 degrees
Element x y z (fractional)
S 0.934 0.598 0.185
S 0.284 0.934 0.185
S 0.171 0.171 0.488
S 0.598 0.284 0.185
S 0.066 0.402 0.815
S 0.829 0.829 0.512
S 0.402 0.716 0.815
S 0.716 0.066 0.815
Cr 0.752 0.752 0.744
Cr 0.248 0.248 0.256
Ba 0.500 0.500 0.500
Np 0.000 0.000 0.000

# 3
This record from Alexandria describes an optimized crystal structure of NaCa2Hg2. The functional is PBE.

Values from the calculation:
* energy of formation from the pure elements: -0.148 eV/atom
* polymorph energy (0 for the lowest one): 0.260 eV per atom
* magnetization: 0.00 μB/f.u.

Cell lengths 4.422, 4.422, 9.245 Å; angles 76.16, 76.16, 90.00 degrees
Element x y z (fractional)
Hg 0.250 0.750 0.500
Hg 0.750 0.250 0.500
Na 0.000 0.000 0.000
Ca 0.385 0.385 0.231
Ca 0.615 0.615 0.769

# 4
This record from Alexandria describes an optimized crystal structure of PaNb2N4. The functional is PBE.

Values from the calculation:
* formation energy (no corrections): -1194 meV/atom
* magnetization: 0.00 μB/f.u.

Cell lengths 3.241, 5.334, 10.379 Å; angles 90.00, 90.00, 107.68 degrees
Element x y z (fractional)
N 0.500 0.000 0.000
N 0.953 0.906 0.750
N 0.769 0.538 0.380
N 0.047 0.094 0.250
N 0.231 0.462 0.880
N 0.769 0.538 0.120
N 0.500 0.000 0.500
N 0.231 0.462 0.620
Nb 0.876 0.751 0.559
Nb 0.124 0.249 0.059
Nb 0.124 0.249 0.441
Nb 0.876 0.751 0.941
Pa 0.616 0.233 0.750
Pa 0.384 0.767 0.250

# 5
This record from Alexandria describes an optimized crystal structure of Ga2NiS. The functional is PBE.

Values from the calculation:
* polymorph energy (0 for the lowest one): 0.000 eV per atom
* formation energy (no corrections): -70 meV/atom
* magnetization: 0.00 μB/f.u.

Cell lengths 5.976, 5.976, 6.149 Å; angles 60.93, 60.93, 90.00 degrees
Element x y z (fractional)
S 0.500 0.500 0.000
S 0.250 0.750 0.500
Ni 0.750 0.250 0.500
Ni 0.000 0.000 0.000
Ga 0.375 0.361 0.750
Ga 0.639 0.125 0.250
Ga 0.111 0.625 0.250
Ga 0.875 0.889 0.750

# 6
This record from Alexandria describes an optimized crystal structure of LaNpCdO6. The functional is PBE.

Values from the calculation:
* formation energy (no corrections): -2491 meV/atom
* magnetization: 0.00 μB/f.u.

Cell lengths 5.673, 5.673, 10.325 Å; angles 90.00, 90.00, 120.00 degrees
Element x y z (fractional)
O 0.329 0.959 0.638
O 0.041 0.671 0.862
O 0.329 0.369 0.862
O 0.671 0.041 0.362
O 0.369 0.041 0.138
O 0.041 0.369 0.638
O 0.631 0.959 0.862
O 0.369 0.329 0.362
O 0.959 0.329 0.138
O 0.671 0.631 0.138
O 0.631 0.671 0.638
O 0.959 0.631 0.362
Np 0.667 0.333 0.250
Np 0.333 0.667 0.750
La 0.000 0.000 0.000
La 0.000 0.000 0.500
Cd 0.333 0.667 0.250
Cd 0.667 0.333 0.750

# 7
This record from Alexandria describes an optimized crystal structure of Sr3Tl9Cd2. The functional is PBE.

Values from the calculation:
* energy of formation from the pure elements: -0.206 eV/atom
* magnetization: 0.00 μB/f.u.

Cell lengths 5.048, 9.689, 9.689 Å; angles 77.37, 74.90, 74.90 degrees
Element x y z (fractional)
Sr 0.000 0.000 0.000
Sr 0.296 0.704 0.704
Sr 0.704 0.296 0.296
Tl 0.000 0.500 0.500
Tl 0.366 0.004 0.264
Tl 0.366 0.264 0.004
Tl 0.634 0.996 0.736
Tl 0.151 0.133 0.564
Tl 0.634 0.736 0.996
Tl 0.849 0.867 0.436
Tl 0.849 0.436 0.867
Tl 0.151 0.564 0.133
Cd 0.500 0.334 0.666
Cd 0.500 0.666 0.334

# 8
This record from Alexandria describes an optimized crystal structure of KLiMgI4. The functional is PBE.

Values from the calculation:
* formation energy (no corrections): -1182 meV/atom
* magnetization: 0.00 μB/f.u.

Cell lengths 7.173, 8.981, 9.564 Å; angles 90.00, 101.57, 90.00 degrees
Element x y z (fractional)
I 0.398 0.750 0.082
I 0.602 0.250 0.918
I 0.515 0.750 0.539
I 0.957 0.520 0.264
I 0.043 0.480 0.736
I 0.485 0.250 0.461
I 0.957 0.980 0.264
I 0.043 0.020 0.736
Mg 0.784 0.250 0.689
Mg 0.216 0.750 0.311
Li 0.708 0.750 0.314
Li 0.292 0.250 0.686
K 0.817 0.750 0.925
K 0.183 0.250 0.075

# 9
This record from Alexandria describes an optimized crystal structure of HfGeO2. The functional is PBE.

Values from the calculation:
* formation energy (no corrections): -1693 meV/atom
* magnetization: 0.00 μB/f.u.

Cell lengths 7.021, 7.021, 7.021 Å; angles 125.06, 125.06, 81.44 degrees
Element x y z (fractional)
Hf 0.375 0.625 0.250
Hf 0.875 0.625 0.250
Hf 0.375 0.625 0.750
Hf 0.375 0.125 0.750
O 0.206 0.421 0.785
O 0.171 0.456 0.285
O 0.114 0.829 0.285
O 0.544 0.829 0.715
O 0.579 0.364 0.785
O 0.171 0.886 0.715
O 0.636 0.421 0.215
O 0.579 0.794 0.215
Ge 0.875 0.125 0.250
Ge 0.875 0.125 0.750
Ge 0.375 0.125 0.250
Ge 0.875 0.625 0.750

# 10
This record from Alexandria describes an optimized crystal structure of SrSm2In. The functional is PBE.

Values from the calculation:
* energy of formation from the pure elements: 0.058 eV/atom
* polymorph energy (0 for the lowest one): 0.196 eV per atom
* magnetization: 0.00 μB/f.u.

Cell lengths 3.741, 3.741, 12.346 Å; angles 81.28, 81.28, 60.00 degrees
Element x y z (fractional)
Sm 0.900 0.900 0.301
Sm 0.100 0.100 0.699
In 0.500 0.500 0.500
Sr 0.000 0.000 0.000

# 11
This record from Alexandria describes an optimized crystal structure of ScBIr. The functional is PBE.

Values from the calculation:
* energy of formation from the pure elements: -0.441 eV/atom
* polymorph energy (0 for the lowest one): 0.218 eV per atom
* magnetization: 0.19 μB/f.u.

Cell lengths 4.295, 5.426, 4.295 Å; angles 71.10, 79.55, 108.90 degrees
Element x y z (fractional)
Ir 0.660 0.000 0.761
Ir 0.239 0.000 0.340
B 0.117 0.000 0.883
B 0.781 0.000 0.219
Sc 0.449 0.500 0.551
Sc 0.949 0.500 0.051

# 12
This record from Alexandria describes an optimized crystal structure of P2OsSe. The functional is PBE.

Values from the calculation:
* formation energy (no corrections): 19 meV/atom
* magnetization: 0.00 μB/f.u.

Cell lengths 2.963, 3.746, 8.318 Å; angles 71.99, 100.18, 66.66 degrees
Element x y z (fractional)
P 0.736 0.560 0.023
P 0.396 0.900 0.682
Se 0.104 0.156 0.352
Os 0.872 0.120 0.853

# 13
This record from Alexandria describes an optimized crystal structure of K4Rb2Pt. The functional is PBE.

Values from the calculation:
* energy of formation from the pure elements: 0.036 eV/atom
* polymorph energy (0 for the lowest one): 0.007 eV per atom
* magnetization: 0.00 μB/f.u.

Cell lengths 6.283, 6.283, 13.014 Å; angles 76.03, 76.03, 90.00 degrees
Element x y z (fractional)
Pt 0.000 0.000 0.000
K 0.874 0.874 0.252
K 0.000 0.500 0.000
K 0.126 0.126 0.748
K 0.500 0.000 0.000
Rb 0.685 0.685 0.630
Rb 0.315 0.315 0.370

# 14
This record from Alexandria describes an optimized crystal structure of Li5AlCd8. The functional is PBE.

Values from the calculation:
* energy of formation from the pure elements: -0.086 eV/atom
* magnetization: 0.00 μB/f.u.

Cell lengths 7.214, 7.214, 7.214 Å; angles 112.39, 103.77, 112.39 degrees
Element x y z (fractional)
Cd 0.654 0.400 0.911
Cd 0.511 0.600 0.253
Cd 0.583 0.931 0.853
Cd 0.147 0.730 0.078
Cd 0.089 0.742 0.489
Cd 0.348 0.270 0.417
Cd 0.922 0.069 0.652
Cd 0.747 0.258 0.346
Al 0.250 0.500 0.750
Li 0.500 0.000 0.500
Li 0.286 0.086 0.961
Li 0.039 0.325 0.125
Li 0.875 0.914 0.200
Li 0.800 0.675 0.714

# 15
This record from Alexandria describes an optimized crystal structure of CePu2Tc. The functional is PBE.

Values from the calculation:
* energy of formation from the pure elements: 0.054 eV/atom
* polymorph energy (0 for the lowest one): 0.000 eV per atom
* magnetization: 10.02 μB/f.u.

Cell lengths 3.405, 3.405, 7.422 Å; angles 90.00, 90.00, 90.00 degrees
Element x y z (fractional)
Pu 0.000 0.000 0.778
Pu 0.000 0.000 0.222
Ce 0.500 0.500 0.500
Tc 0.500 0.500 0.000

# 16
This record from Alexandria describes an optimized crystal structure of Dy2SnS3. The functional is PBE.

Values from the calculation:
* formation energy (no corrections): -1324 meV/atom
* magnetization: 0.00 μB/f.u.

Cell lengths 8.022, 8.022, 7.205 Å; angles 76.42, 76.42, 121.18 degrees
Element x y z (fractional)
Dy 0.560 0.377 0.040
Dy 0.377 0.560 0.540
Dy 0.700 0.153 0.506
Dy 0.153 0.700 0.006
S 0.522 0.076 0.910
S 0.536 0.365 0.414
S 0.772 0.929 0.327
S 0.076 0.522 0.410
S 0.929 0.772 0.827
S 0.365 0.536 0.914
Sn 0.219 0.896 0.474
Sn 0.896 0.219 0.974

# 17
This record from Alexandria describes an optimized crystal structure of Y3Si3Rh. The functional is PBE.

Values from the calculation:
* formation energy (no corrections): -950 meV/atom
* magnetization: 0.00 μB/f.u.

Cell lengths 5.706, 5.706, 13.557 Å; angles 70.76, 70.76, 43.62 degrees
Element x y z (fractional)
Y 0.602 0.602 0.079
Y 0.256 0.256 0.227
Y 0.479 0.479 0.375
Y 0.398 0.398 0.921
Y 0.744 0.744 0.773
Y 0.521 0.521 0.625
Si 0.952 0.952 0.237
Si 0.113 0.113 0.925
Si 0.887 0.887 0.075
Si 0.870 0.870 0.543
Si 0.048 0.048 0.763
Si 0.130 0.130 0.457
Rh 0.247 0.247 0.585
Rh 0.753 0.753 0.415

# 18
This record from Alexandria describes an optimized crystal structure of K2Er2PdO6. The functional is PBE.

Values from the calculation:
* formation energy (no corrections): -2145 meV/atom
* magnetization: 0.00 μB/f.u.

Cell lengths 5.719, 5.719, 6.588 Å; angles 97.58, 97.58, 119.62 degrees
Element x y z (fractional)
K 0.160 0.840 0.000
K 0.840 0.160 0.000
O 0.635 0.951 0.327
O 0.365 0.049 0.673
O 0.746 0.746 0.676
O 0.254 0.254 0.324
O 0.951 0.635 0.327
O 0.049 0.365 0.673
Pd 0.000 0.000 0.500
Er 0.665 0.335 0.500
Er 0.335 0.665 0.500

# 19
This record from Alexandria describes an optimized crystal structure of CrAgSe2. The functional is PBE.

Values from the calculation:
* formation energy (no corrections): 94 meV/atom
* magnetization: 3.62 μB/f.u.

Cell lengths 6.555, 5.412, 4.153 Å; angles 63.81, 95.47, 129.96 degrees
Element x y z (fractional)
Cr 0.500 0.500 0.000
Ag 0.000 0.500 0.500
Se 0.000 0.000 0.000
Se 0.500 0.000 0.500

# 20
This record from Alexandria describes an optimized crystal structure of PmNd2Er. The functional is PBE.

Values from the calculation:
* energy of formation from the pure elements: 0.128 eV/atom
* polymorph energy (0 for the lowest one): 0.113 eV per atom
* magnetization: 0.00 μB/f.u.

Cell lengths 5.772, 5.772, 5.772 Å; angles 60.00, 60.00, 60.00 degrees
Element x y z (fractional)
Nd 0.750 0.750 0.750
Nd 0.250 0.250 0.250
Er 0.000 0.000 0.000
Pm 0.500 0.500 0.500

Number 1: calculated density 11.7 Mg/m³. Number 2: calculated density 4.2 Mg/m³. Number 3: calculated density 4.9 Mg/m³. Number 4: calculated density 9.2 Mg/m³. Number 5: calculated density 4.8 Mg/m³. Number 6: calculated density 6.7 Mg/m³. Number 7: calculated density 8.9 Mg/m³. Number 8: calculated density 3.2 Mg/m³. Number 9: calculated density 8.4 Mg/m³. Number 10: calculated density 5.7 Mg/m³. Number 11: calculated density 9.7 Mg/m³. Number 12: calculated density 7.3 Mg/m³. Number 13: calculated density 1.8 Mg/m³. Number 14: calculated density 5.6 Mg/m³. Number 15: calculated density 14.0 Mg/m³. Number 16: calculated density 5.1 Mg/m³. Number 17: calculated density 5.3 Mg/m³. Number 18: calculated density 5.7 Mg/m³. Number 19: calculated density 5.4 Mg/m³. Number 20: calculated density 7.3 Mg/m³.